# 1
A geometry-optimized Pm2PrSmSe4 structure, computed with GGA-PBE.

a b c (Å): 7.2946 4.1627 7.3403
angles (deg): 90.00 108.94 90.00
Last column: nearest neighbours and their distance in Å.
Space group P2/m (No. 10)
Asymmetric unit:
1 Pm 0.0000 0.0000 0.0000 [1 per cell]  6 Se 2.95
2 Pm 0.0000 0.5000 0.5000 [1 per cell]  6 Se 2.99
3 Pr 0.5000 0.0000 0.5000 [1 per cell]  6 Se 3.00
4 Sm 0.5000 0.5000 0.0000 [1 per cell]  6 Se 2.97
5 Se 0.2468 0.5000 0.2453 [2 per cell]  3 Pm 2.95-2.99, 1 Sm 2.97, 2 Pr 3.00
6 Se 0.2496 0.0000 0.7535 [2 per cell]  3 Pm 2.95-2.99, 2 Sm 2.97, 1 Pr 3.00

ΔE_f (raw) = -1.83 eV/atom
Density = 7.1 g/cm3
Calculated volume = 211 Å³ per cell

=====

# 2
A geometry-optimized Pm3Pr2SmSe6 structure, computed with GGA-PBE.

a b c (Å): 18.3625 4.1990 8.4765
angles (deg): 90.00 103.39 90.00
Last column: nearest neighbours and their distance in Å.
Space group C2/m (No. 12)
Asymmetric unit:
1 Pm 0.0000 0.0000 0.0000 [2 per cell]  6 Se 2.95-2.99
2 Pm 0.1682 0.5000 0.3332 [4 per cell]  6 Se 2.95-2.97
3 Pr 0.1672 0.5000 0.8343 [4 per cell]  6 Se 3.00-3.02
4 Sm 0.0000 0.0000 0.5000 [2 per cell]  6 Se 2.95-2.97
5 Se 0.0018 0.5000 0.2525 [4 per cell]  2 Sm 2.97, 3 Pm 2.97-2.99, 1 Pr 3.02
6 Se 0.1650 0.0000 0.0865 [4 per cell]  3 Pm 2.95, 3 Pr 3.00
7 Se 0.1653 0.0000 0.5785 [4 per cell]  1 Sm 2.95, 3 Pm 2.96-2.97, 2 Pr 3.01

ΔE_f (raw) = -1.83 eV/atom
Density = 7.0 g/cm3
Calculated volume = 636 Å³ per cell

=====

# 3
A geometry-optimized Pm4PrSmSe8 structure, computed with GGA-PBE.

a b c (Å): 8.6646 8.6646 21.1889
angles (deg): 90.00 90.00 120.00
Last column: nearest neighbours and their distance in Å.
Space group R3m (No. 160, hexagonal axes)
Asymmetric unit:
1 Pm 0.0000 0.0000 0.0000 [3 per cell]  4 Se 2.81
2 Pm 0.0014 0.5007 0.8755 [9 per cell]  6 Se 2.96-2.97
3 Pr 0.0000 0.0000 0.7505 [3 per cell]  4 Se 2.84-2.85
4 Sm 0.0000 0.0000 0.3750 [3 per cell]  6 Se 2.95-2.96
5 Se 0.0000 0.0000 0.1324 [3 per cell]  4 Pm 2.81-2.97
6 Se 0.0000 0.0000 0.6164 [3 per cell]  1 Pr 2.84, 3 Pm 2.96
7 Se 0.0251 0.5126 0.1280 [9 per cell]  1 Pr 2.85, 1 Sm 2.95, 2 Pm 2.96
8 Se 0.1771 0.3541 0.9568 [9 per cell]  3 Pm 2.81-2.97, 1 Sm 2.96

ΔE_f (raw) = -1.73 eV/atom
Density = 5.4 g/cm3
Calculated volume = 1378 Å³ per cell

=====

Q: What is the calculated volume in the second record?
A: 636 Å³ per cell